The following is a PBE calculation of crystalline Er3Hg7 at its relaxed geometry, from Alexandria via LeMat-Bulk.

The spin magnetization comes out at 0.000 Bohr magnetons per cell. The formation energy is -337 meV/atom. As for the total energy: -1.917 eV/atom.

The space group is C2/m (No. 12) and the conventional cell measures 16.3866, 4.8598 and 6.3834 Å, with angles of 90.00, 108.33 and 90.00 degrees. The distinct sites, in fractional coordinates, are Er at (0.0000, 0.0000, 0.0000), Er at (0.1997, 0.0000, 0.6450), Hg at (0.0000, 0.0000, 0.5000), Hg at (0.1013, 0.5000, 0.3427), Hg at (0.1026, 0.5000, 0.8484) and Hg at (0.1974, 0.0000, 0.1399).